Entry 1:
{
  "formula": "SmHfSi2",
  "functional": "GGA-PBE",
  "state": "optimized geometry",
  "magnetic_moment_mub_per_atom": 0.000,
  "formation_energy_uncorrected_mev_per_atom": -527,
  "dos_at_fermi_per_ev_atom": 0.56,
  "final_energy_ev_per_cell": -27.63,
  "cell": [[1.9778, 1.1419, 6.5900], [-1.9778, 1.1419, 6.5900], [0.0000, -2.2838, 6.5900]],
  "species": ["Sm", "Hf", "Si", "Si"],
  "fractional_positions": [[0.0000, 0.0000, 0.0000], [0.5000, 0.5000, 0.5000], [0.2401, 0.2401, 0.2401], [0.7599, 0.7599, 0.7599]]
}



Entry 2:
{
  "formula": "Zn2NiOs",
  "functional": "GGA-PBE",
  "state": "optimized geometry",
  "magnetic_moment_mub_per_atom": 0.000,
  "e_form_ev_per_atom": 0.1034,
  "dos_at_fermi_per_ev_atom": 0.60,
  "final_energy_ev_per_cell": -19.15,
  "cell": [[2.6478, -4.3013, 0.0000], [2.6478, 4.3013, 0.0000], [-1.0752, 0.0000, 2.3525]],
  "species": ["Zn", "Zn", "Ni", "Os"],
  "fractional_positions": [[0.0000, 0.5000, 0.0000], [0.5000, 0.0000, 0.0000], [0.0000, 0.0000, 0.5000], [0.5000, 0.5000, 0.5000]]
}